Entry 1:
{
  "formula": "BeNi3Ge",
  "functional": "meta-GGA SCAN",
  "state": "PBEsol geometry",
  "cell": [[3.8309, 0.0000, 0.0000], [0.0000, 3.8309, 0.0000], [0.0000, 0.0000, 3.8309]],
  "species": ["Be", "Ni", "Ni", "Ni", "Ge"],
  "frac_coords": [[0.0000, 0.0000, 0.0000], [0.0000, 0.0000, 0.5000], [0.0000, 0.5000, 0.0000], [0.5000, 0.0000, 0.0000], [0.5000, 0.5000, 0.5000]],
  "e_form_ev_per_atom": 0.20,
  "final_energy_ev_per_cell": -70.95,
  "density_kg_m3": 7613
}



Entry 2:
{
  "formula": "AlZnOs2",
  "functional": "meta-GGA SCAN",
  "state": "PBEsol geometry",
  "cell": [[1.3791, -2.3488, 0.0000], [1.3791, 2.3488, 0.0000], [0.0000, 0.0000, 8.9045]],
  "species": ["Al", "Zn", "Os", "Os"],
  "frac_coords": [[0.0000, 0.0000, 0.0000], [0.5000, 0.5000, 0.2589], [0.0000, 0.0000, 0.5091], [0.5000, 0.5000, 0.7611]],
  "e_form_ev_per_atom": 0.28,
  "final_energy_ev_per_cell": -163.89,
  "density_kg_m3": 13611
}



Entry 3:
{
  "formula": "PSeBr2O",
  "functional": "meta-GGA SCAN",
  "state": "PBEsol geometry",
  "cell": [[4.7540, 0.0000, 0.0000], [0.0000, 4.7540, 0.0000], [0.0000, 0.0000, 4.1365]],
  "species": ["P", "Se", "Br", "Br", "O"],
  "frac_coords": [[0.0000, 0.0000, 0.0000], [0.5000, 0.5000, 0.0000], [0.0000, 0.5000, 0.5000], [0.5000, 0.0000, 0.5000], [0.5000, 0.5000, 0.5000]],
  "final_energy_ev_per_cell": -70.52,
  "density_kg_m3": 5075
}